LaDy6Y after structural relaxation. Source: the Alexandria database, functional PBE-GGA.

a b c (Å): 5.8833 5.8833 9.0145
angles (deg): 79.01 79.01 71.81
Closest atoms and distances in Å follow each position.
Atoms (fractional coordinates):
Dy  0.4718  0.9542  0.7023  5 Dy 3.30-3.69, 2 Y 3.41-3.46, 1 La 3.46
Dy  0.5282  0.0458  0.2977  5 Dy 3.30-3.69, 2 Y 3.41-3.46, 1 La 3.46
Dy  0.9542  0.4718  0.7023  5 Dy 3.30-3.69, 2 Y 3.41-3.46, 1 La 3.46
Dy  0.0458  0.5282  0.2977  5 Dy 3.30-3.69, 2 Y 3.41-3.46, 1 La 3.46
Dy  0.6251  0.6251  0.0782  3 Dy 3.04-3.30
Dy  0.3749  0.3749  0.9218  3 Dy 3.04-3.30
Y  0.5000  0.5000  0.5000  10 Dy 3.41-3.71
La  0.0000  0.0000  0.0000  10 Dy 3.46-3.77

Output
DOS at the Fermi energy ... 2.010 states/eV/atom
Magnetic moment ... 0.00 Bohr magnetons per cell
Total energy ... -4.477 eV/atom
SG ... C2/m (12)